Crystalline Sr5Al at its relaxed geometry, computed with PBE.

Geometry as POSCAR:
```
Sr5Al
1.0
0.0000 5.2875 5.2875
5.2875 0.0000 5.2875
5.2875 5.2875 0.0000
Sr Al
5 1
Cartesian
3.9586 6.6165 3.9586
6.6165 3.9586 3.9586
3.9586 3.9586 6.6165
2.6438 2.6438 2.6438
6.6165 6.6165 6.6165
0.0000 0.0000 0.0000
```

Output
M_tot   0.00 μB per formula unit
ΔH_f (0 K)   0.384 eV per atom
Excess energy over the best structure of this formula in the dataset   0.409 eV/atom
Space-group type   F-43m (216)

***

Crystalline Tb3PmNd5 at its relaxed geometry, computed with PBE.

Geometry as POSCAR:
```
Tb3PmNd5
1.0
6.2621 0.0000 0.0000
-3.1310 9.6434 -4.5873
0.0000 -2.1305 11.4870
Nd Pm Tb
10 2 6
Cartesian
4.2541 2.4311 0.1765
3.7390 -0.5326 2.8717
2.0080 1.3659 5.9200
5.0717 2.3483 4.3622
-1.1230 5.0818 6.7232
2.5231 -1.5979 8.6152
1.9407 4.0994 8.2809
-1.9407 5.1646 2.5374
1.1904 3.4136 -1.3812
1.1230 6.1471 0.9797
0.7119 -0.5326 2.8717
5.5502 -1.5979 8.6152
-1.7376 5.8441 -0.9484
4.8687 1.6688 7.8481
0.0000 0.0000 0.0000
1.3934 2.7341 2.1046
0.0000 -1.0652 5.7435
1.7376 4.7789 4.7951
```

Output
M_tot   0.00 μB per formula unit
ΔH_f (0 K)   0.273 eV per atom
Excess energy over the best structure of this formula in the dataset   0.000 eV/atom
Space-group type   C2/c (15)

***

Crystalline AcLaGd2 at its relaxed geometry, computed with PBE.

Geometry as POSCAR:
```
AcLaGd2
1.0
-0.7653 -2.7756 -2.4136
-1.3539 -2.0796 2.8208
-9.4370 3.9856 -1.5911
Gd La Ac
2 1 1
Cartesian
-7.1583 3.0232 -1.2069
-2.2788 0.9624 -0.3842
-1.0596 -2.4276 0.2036
-5.7781 -0.4348 -0.5919
```

Output
M_tot   14.82 μB per formula unit
ΔH_f (0 K)   0.033 eV per atom
Excess energy over the best structure of this formula in the dataset   0.002 eV/atom
Space-group type   P4/mmm (123)

***

Crystalline NaNd3S4 at its relaxed geometry, computed with PBE.

Geometry as POSCAR:
```
NaNd3S4
1.0
5.7439 0.0000 0.0000
0.0000 5.7439 0.0000
0.0000 0.0000 5.7439
Nd S Na
3 4 1
Cartesian
2.8720 0.0000 2.8720
0.0000 2.8720 2.8720
2.8720 2.8720 0.0000
2.8720 2.8720 2.8720
0.0000 0.0000 2.8720
2.8720 0.0000 0.0000
0.0000 2.8720 0.0000
0.0000 0.0000 0.0000
```

Output
ΔE_f (raw)   -1.935 eV per atom
M_tot   0.00 μB per formula unit
Excess energy over the best structure of this formula in the dataset   0.000 eV/atom
Space-group type   Pm-3m (221)

***

Crystalline Ac2MgZr at its relaxed geometry, computed with PBE.

Geometry as POSCAR:
```
Ac2MgZr
1.0
-3.7981 0.2395 0.3368
-0.2262 -5.6880 1.4941
0.5951 1.4653 5.6688
Mg Ac Zr
1 2 1
Cartesian
-1.8990 0.1197 0.1684
0.2975 0.7327 2.8344
-0.1131 -2.8440 0.7470
-1.7146 -1.9916 3.7498
```

Output
M_tot   0.00 μB per formula unit
ΔH_f (0 K)   0.162 eV per atom
Excess energy over the best structure of this formula in the dataset   0.012 eV/atom
Space-group type   P4/mmm (123)

***

Crystalline HfZr3Rh at its relaxed geometry, computed with PBE.

Geometry as POSCAR:
```
HfZr3Rh
1.0
5.0554 0.0000 0.0000
0.0000 5.0554 0.0000
0.0000 0.0000 5.0554
Rh Zr Hf
1 3 1
Cartesian
2.5277 2.5277 2.5277
2.5277 0.0000 0.0000
0.0000 2.5277 0.0000
0.0000 0.0000 2.5277
0.0000 0.0000 0.0000
```

Output
M_tot   0.00 μB per formula unit
ΔH_f (0 K)   1.267 eV per atom
Excess energy over the best structure of this formula in the dataset   1.424 eV/atom
Space-group type   Pm-3m (221)